Arrangement w

This record from the Alexandria database describes an optimized crystal structure of Ba2Sr5Ca4. The functional is GGA-PBE.

a b c (Å): 17.6157 7.7006 11.6531
angles (deg): 90.00 130.84 90.00
Space group C2/m (No. 12)
Unique sites:
Ba (0.1828, 0.0000, 0.1841)
Sr (0.0000, 0.5000, 0.0000)
Sr (0.0008, 0.2519, 0.6793)
Ca (0.2426, 0.5000, 0.0742)
Ca (0.2437, 0.5000, 0.4086)

Output
As for the mass density: 2.42 g/cm3. As for the magnetization: 0.0 μB/f.u. The density of states at the Fermi level comes out at 26.794 states/eV/cell.

---

Arrangement x

This record from the Alexandria database describes an optimized crystal structure of Ba2Sr5Ca4. The functional is GGA-PBE.

a b c (Å): 21.9206 6.6721 7.6338
angles (deg): 90.00 91.09 90.00
Space group C2/m (No. 12)
Unique sites:
Ba (0.0923, 0.0000, 0.0385)
Sr (0.0000, 0.0000, 0.5000)
Sr (0.1367, 0.5000, 0.3322)
Sr (0.2233, 0.5000, 0.8543)
Ca (0.0416, 0.5000, 0.7761)
Ca (0.1832, 0.0000, 0.5866)

Output
As for the mass density: 2.60 g/cm3. As for the magnetization: 0.0 μB/f.u. The density of states at the Fermi level comes out at 29.706 states/eV/cell.

---

Which structure wins on stability? arrangement x wins.

---

Arrangement w

This record from the Alexandria database describes an optimized crystal structure of BaSr6Ca. The functional is GGA-PBE.

a b c (Å): 7.5869 7.5869 7.5869
angles (deg): 90.00 90.00 90.00
Space group Pm-3 (No. 200)
Unique sites:
Ba (0.0000, 0.0000, 0.0000)
Sr (0.0000, 0.2525, 0.5000)
Ca (0.5000, 0.5000, 0.5000)

Output
As for the mass density: 2.67 g/cm3. As for the magnetization: 0.0 μB/f.u. The density of states at the Fermi level comes out at 7.929 states/eV/cell.

---

Arrangement x

This record from the Alexandria database describes an optimized crystal structure of BaSr6Ca. The functional is GGA-PBE.

a b c (Å): 13.4387 5.9827 12.0561
angles (deg): 90.00 116.54 90.00
Space group C2/m (No. 12)
Unique sites:
Ba (0.0000, 0.0000, 0.0000)
Sr (0.0025, 0.5000, 0.7410)
Sr (0.2482, 0.0000, 0.8685)
Sr (0.2501, 0.0000, 0.3803)
Ca (0.0000, 0.0000, 0.5000)

Output
As for the mass density: 2.69 g/cm3. As for the magnetization: 0.0 μB/f.u. The density of states at the Fermi level comes out at 18.183 states/eV/cell.

---

Which structure wins on stability? arrangement x wins.

---

Arrangement w

This record from the Alexandria database describes an optimized crystal structure of BaSr5Ca8. The functional is GGA-PBE.

a b c (Å): 10.5467 10.5467 12.9130
angles (deg): 90.00 90.00 90.00
Space group I-4 (No. 82)
Unique sites:
Ba (0.0000, 0.0000, 0.0000)
Sr (0.0000, 0.5000, 0.7500)
Sr (0.1417, 0.7695, 0.4446)
Ca (0.0741, 0.8432, 0.7413)
Ca (0.0833, 0.6771, 0.1515)

Output
As for the mass density: 2.07 g/cm3. As for the magnetization: 0.0 μB/f.u. The density of states at the Fermi level comes out at 37.627 states/eV/cell.

---

Arrangement x

This record from the Alexandria database describes an optimized crystal structure of BaSr5Ca8. The functional is GGA-PBE.

a b c (Å): 10.5600 10.5600 12.7926
angles (deg): 90.00 90.00 90.00
Space group I-4 (No. 82)
Unique sites:
Ba (0.0000, 0.0000, 0.0000)
Sr (0.0000, 0.5000, 0.7500)
Sr (0.1414, 0.7296, 0.3056)
Ca (0.0749, 0.6550, 0.0064)
Ca (0.0830, 0.8218, 0.6017)

Output
As for the mass density: 2.09 g/cm3. As for the magnetization: 0.0 μB/f.u. The density of states at the Fermi level comes out at 35.698 states/eV/cell.

---

Which structure wins on stability? arrangement x wins.

---

Arrangement w

This record from the Alexandria database describes an optimized crystal structure of BaSr3Ca6. The functional is GGA-PBE.

a b c (Å): 13.0804 13.6959 11.3094
angles (deg): 90.00 90.00 90.00
Space group Cmc2_1 (No. 36)
Unique sites:
Ba (0.0000, 0.2235, 0.0000)
Sr (0.0000, 0.0415, 0.3142)
Sr (0.1684, 0.3628, 0.3765)
Ca (0.0000, 0.2206, 0.6293)
Ca (0.0000, 0.4975, 0.1193)
Ca (0.2242, 0.3612, 0.7245)
Ca (0.2298, 0.0955, 0.5543)

Output
As for the mass density: 2.10 g/cm3. As for the magnetization: 0.0 μB/f.u. The density of states at the Fermi level comes out at 62.386 states/eV/cell.

---

Arrangement x

This record from the Alexandria database describes an optimized crystal structure of BaSr3Ca6. The functional is GGA-PBE.

a b c (Å): 14.3505 4.1088 17.5021
angles (deg): 90.00 107.46 90.00
Space group P2_1/m (No. 11)
Unique sites:
Ba (0.0577, 0.2500, 0.2453)
Sr (0.1055, 0.2500, 0.6146)
Sr (0.2612, 0.7500, 0.8792)
Sr (0.3603, 0.2500, 0.3105)
Ca (0.0706, 0.2500, 0.9509)
Ca (0.2019, 0.7500, 0.4505)
Ca (0.2245, 0.7500, 0.1153)
Ca (0.3660, 0.7500, 0.7030)
Ca (0.4223, 0.2500, 0.5452)
Ca (0.4425, 0.2500, 0.0785)

Output
As for the mass density: 2.16 g/cm3. As for the magnetization: 0.0 μB/f.u. The density of states at the Fermi level comes out at 26.895 states/eV/cell.

---

Which structure wins on stability? arrangement x wins.

---

Arrangement w

This record from the Alexandria database describes an optimized crystal structure of Ba3Sr5Ca. The functional is GGA-PBE.

a b c (Å): 22.3692 7.4321 13.8709
angles (deg): 90.00 111.93 90.00
Space group C2/c (No. 15)
Unique sites:
Ba (0.0000, 0.0000, 0.0000)
Ba (0.1592, 0.2793, 0.0251)
Sr (0.0000, 0.4593, 0.2500)
Sr (0.1623, 0.2608, 0.7043)
Sr (0.1706, 0.2099, 0.3661)
Ca (0.0000, 0.0516, 0.7500)

Output
As for the mass density: 2.76 g/cm3. As for the magnetization: 0.0 μB/f.u. The density of states at the Fermi level comes out at 60.081 states/eV/cell.

---

Arrangement x

This record from the Alexandria database describes an optimized crystal structure of Ba3Sr5Ca. The functional is GGA-PBE.

a b c (Å): 11.9534 11.9534 8.0975
angles (deg): 90.00 90.00 120.00
Space group P6_3/mcm (No. 193)
Unique sites:
Ba (0.0000, 0.3352, 0.2500)
Sr (0.0000, 0.3248, 0.7500)
Sr (0.3333, 0.6667, 0.0000)
Ca (0.0000, 0.0000, 0.0000)

Output
As for the mass density: 2.95 g/cm3. As for the magnetization: 0.0 μB/f.u. The density of states at the Fermi level comes out at 28.562 states/eV/cell.

---

Which structure wins on stability? arrangement x wins.

---

Arrangement w

This record from the Alexandria database describes an optimized crystal structure of BaSr4Ca. The functional is GGA-PBE.

a b c (Å): 4.8035 4.8035 13.9053
angles (deg): 90.00 90.00 90.00
Space group P4/mmm (No. 123)
Unique sites:
Ba (0.0000, 0.0000, 0.0000)
Sr (0.0000, 0.0000, 0.3470)
Sr (0.5000, 0.5000, 0.1792)
Ca (0.5000, 0.5000, 0.5000)

Output
As for the mass density: 2.73 g/cm3. As for the magnetization: 0.0 μB/f.u. The density of states at the Fermi level comes out at 6.849 states/eV/cell.

---

Arrangement x

This record from the Alexandria database describes an optimized crystal structure of BaSr4Ca. The functional is GGA-PBE.

a b c (Å): 11.0924 11.0924 11.0924
angles (deg): 90.00 90.00 90.00
Space group F-43m (No. 216)
Unique sites:
Ba (0.0000, 0.0000, 0.0000)
Sr (0.1246, 0.1246, 0.3754)
Ca (0.2500, 0.2500, 0.7500)

Output
As for the mass density: 2.57 g/cm3. As for the magnetization: 0.0 μB/f.u. The density of states at the Fermi level comes out at 24.879 states/eV/cell.

---

Which structure wins on stability? arrangement w wins.

---

Arrangement w

This record from the Alexandria database describes an optimized crystal structure of Ba5Sr4Ca2. The functional is GGA-PBE.

a b c (Å): 11.0599 26.0718 4.3650
angles (deg): 90.00 90.00 90.00
Space group Pbam (No. 55)
Unique sites:
Ba (0.0000, 0.0000, 0.0000)
Ba (0.1358, 0.4368, 0.0000)
Ba (0.2406, 0.2134, 0.0000)
Sr (0.0806, 0.8456, 0.5000)
Sr (0.2087, 0.5757, 0.5000)
Ca (0.0430, 0.3103, 0.5000)

Output
As for the mass density: 2.95 g/cm3. As for the magnetization: 0.0 μB/f.u. The density of states at the Fermi level comes out at 36.070 states/eV/cell.

---

Arrangement x

This record from the Alexandria database describes an optimized crystal structure of Ba5Sr4Ca2. The functional is GGA-PBE.

a b c (Å): 4.1782 11.1176 27.9765
angles (deg): 90.00 90.00 90.00
Space group Immm (No. 71)
Unique sites:
Ba (0.0000, 0.0000, 0.0000)
Ba (0.0000, 0.3043, 0.3590)
Sr (0.0000, 0.1812, 0.5000)
Sr (0.0000, 0.5000, 0.2297)
Ca (0.0000, 0.5000, 0.0944)

Output
As for the mass density: 2.86 g/cm3. As for the magnetization: 0.0 μB/f.u. The density of states at the Fermi level comes out at 31.895 states/eV/cell.

---

Which structure wins on stability? arrangement w wins.

---

Arrangement w

This record from the Alexandria database describes an optimized crystal structure of BaSr2Ca8. The functional is GGA-PBE.

a b c (Å): 5.4412 5.4412 18.2252
angles (deg): 90.00 90.00 90.00
Space group P4/mmm (No. 123)
Unique sites:
Ba (0.0000, 0.0000, 0.0000)
Sr (0.0000, 0.0000, 0.3378)
Ca (0.0000, 0.5000, 0.1784)
Ca (0.0000, 0.5000, 0.5000)
Ca (0.5000, 0.5000, 0.3391)

Output
As for the mass density: 1.95 g/cm3. As for the magnetization: 0.0 μB/f.u. The density of states at the Fermi level comes out at 14.282 states/eV/cell.

---

Arrangement x

This record from the Alexandria database describes an optimized crystal structure of BaSr2Ca8. The functional is GGA-PBE.

a b c (Å): 11.4640 15.1868 6.1915
angles (deg): 90.00 90.32 90.00
Space group C2/m (No. 12)
Unique sites:
Ba (0.0000, 0.0000, 0.0000)
Sr (0.0000, 0.3783, 0.5000)
Ca (0.0000, 0.2507, 0.0000)
Ca (0.1629, 0.5000, 0.0001)
Ca (0.1660, 0.1334, 0.5019)

Output
As for the mass density: 1.95 g/cm3. As for the magnetization: 0.0 μB/f.u. The density of states at the Fermi level comes out at 25.674 states/eV/cell.

---

Which structure wins on stability? arrangement w wins.

---

Arrangement w

This record from the Alexandria database describes an optimized crystal structure of Ba3SrCa2. The functional is GGA-PBE.

a b c (Å): 10.3633 11.7883 10.6645
angles (deg): 90.00 99.30 90.00
Space group C2/c (No. 15)
Unique sites:
Ba (0.0000, 0.0767, 0.2500)
Ba (0.2482, 0.4165, 0.9948)
Sr (0.0000, 0.4095, 0.2500)
Ca (0.1262, 0.2526, 0.6245)

Output
As for the mass density: 3.00 g/cm3. As for the magnetization: 0.0 μB/f.u. The density of states at the Fermi level comes out at 39.923 states/eV/cell.

---

Arrangement x

This record from the Alexandria database describes an optimized crystal structure of Ba3SrCa2. The functional is GGA-PBE.

a b c (Å): 4.7545 4.7545 14.5229
angles (deg): 90.00 90.00 90.00
Space group P4/mmm (No. 123)
Unique sites:
Ba (0.0000, 0.0000, 0.0000)
Ba (0.0000, 0.0000, 0.3214)
Sr (0.5000, 0.5000, 0.5000)
Ca (0.5000, 0.5000, 0.1604)

Output
As for the mass density: 2.93 g/cm3. As for the magnetization: 0.0 μB/f.u. The density of states at the Fermi level comes out at 10.654 states/eV/cell.

---

Which structure wins on stability? arrangement x wins.

---

Arrangement w

This record from the Alexandria database describes an optimized crystal structure of Ba6Sr2Ca3. The functional is GGA-PBE.

a b c (Å): 6.6894 11.1525 16.7668
angles (deg): 90.00 90.00 90.00
Space group Immm (No. 71)
Unique sites:
Ba (0.0000, 0.1877, 0.0000)
Ba (0.0000, 0.2960, 0.3490)
Sr (0.0000, 0.5000, 0.1354)
Ca (0.0000, 0.0000, 0.2157)
Ca (0.0000, 0.0000, 0.5000)

Output
As for the mass density: 2.97 g/cm3. As for the magnetization: 0.0 μB/f.u. The density of states at the Fermi level comes out at 36.142 states/eV/cell.

---

Arrangement x

This record from the Alexandria database describes an optimized crystal structure of Ba6Sr2Ca3. The functional is GGA-PBE.

a b c (Å): 7.0782 7.0782 27.8636
angles (deg): 90.00 90.00 90.00
Space group I4/mmm (No. 139)
Unique sites:
Ba (0.0000, 0.0000, 0.2014)
Ba (0.0000, 0.5000, 0.0788)
Sr (0.0000, 0.0000, 0.0610)
Ca (0.0000, 0.0000, 0.3518)
Ca (0.0000, 0.0000, 0.5000)

Output
As for the mass density: 2.66 g/cm3. As for the magnetization: 0.6 μB/f.u. The density of states at the Fermi level comes out at 34.121 states/eV/cell.

---

Which structure wins on stability? arrangement w wins.